Below is a relaxed PuHg3Pb crystal, with properties calculated at the PBE level.

a b c (Å): 3.235 5.116 16.003
angles (deg): 90.00 90.00 90.00
Last column: magnetic moment on the atom in μB.
Fractional positions:
Hg1 0.500 0.750 0.233  0.01
Hg2 0.500 0.250 0.767  0.01
Hg3 0.000 0.750 0.444  0.00
Pu1 0.000 0.750 0.861  5.60
Hg4 0.000 0.250 0.556  0.00
Hg5 0.500 0.250 0.954  0.00
Pb1 0.500 0.750 0.656  -0.01
Pu2 0.000 0.250 0.139  5.60
Pb2 0.500 0.250 0.344  -0.01
Hg6 0.500 0.750 0.046  0.00

Output
Offset from the most stable computed form ... 0.0 meV/atom